BaHoAgTe3, optimized geometry, DFT GGA-PBE; final energy = -52.45 eV/cell; crystal system = monoclinic
1.0
8.6422 0.0000 0.0000
0.0000 4.4843 0.0000
-3.1700 0.0000 10.3568
Ba Ho Ag Te
2 2 2 6
Direct
0.2468 0.2500 0.2921
0.7532 0.7500 0.7079
0.3072 0.7500 0.8419
0.6928 0.2500 0.1581
0.0804 0.2500 0.5943
0.9196 0.7500 0.4057
0.0685 0.2500 0.8534
0.2707 0.7500 0.5502
0.4394 0.7500 0.1389
0.5606 0.2500 0.8611
0.7293 0.2500 0.4498
0.9315 0.7500 0.1466



GdZnNO, optimized geometry, DFT GGA-PBE; offset from the most stable computed form = 120 meV/atom; crystal system = tetragonal
1.0
4.8349 0.0000 0.0000
0.0000 4.8349 0.0000
0.0000 0.0000 4.4633
Gd Zn N O
2 2 2 2
Direct
0.2500 0.7500 0.0000
0.7500 0.2500 0.0000
0.2500 0.2500 0.4969
0.7500 0.7500 0.5031
0.2500 0.2500 0.0026
0.7500 0.7500 0.9974
0.2500 0.7500 0.5000
0.7500 0.2500 0.5000



Dy2HoFe7Co2, optimized geometry, DFT GGA-PBE; ΔH_f (0 K) = -0.096 eV/atom; crystal system = trigonal
1.0
2.5173 1.4534 8.1063
-2.5173 1.4534 8.1063
0.0000 -2.9067 8.1063
Dy Ho Fe Co
2 1 7 2
Direct
0.1419 0.1419 0.1419
0.8581 0.8581 0.8581
0.0000 0.0000 0.0000
0.0824 0.5809 0.5809
0.4191 0.4191 0.9176
0.4191 0.9176 0.4191
0.5000 0.5000 0.5000
0.5809 0.0824 0.5809
0.5809 0.5809 0.0824
0.9176 0.4191 0.4191
0.3326 0.3326 0.3326
0.6674 0.6674 0.6674



HoBiIr2O6, optimized geometry, DFT GGA-PBE; final energy = -56.90 eV/cell; crystal system = cubic
1.0
0.0000 4.1811 4.1811
4.1811 0.0000 4.1811
4.1811 4.1811 0.0000
Ho Bi Ir O
1 1 2 6
Direct
0.0000 0.0000 0.0000
0.5000 0.5000 0.5000
0.2500 0.2500 0.2500
0.7500 0.7500 0.7500
0.2556 0.2556 0.7444
0.2556 0.7444 0.2556
0.2556 0.7444 0.7444
0.7444 0.2556 0.2556
0.7444 0.2556 0.7444
0.7444 0.7444 0.2556



Number 1: ρ 6561 kg/m3, V 401 Å³ per cell. Number 2: ρ 8042 kg/m3, V 104 Å³ per cell. Number 3: ρ 9320 kg/m3, V 178 Å³ per cell. Number 4: ρ 9704 kg/m3, V 146 Å³ per cell.